Compound: Mn2SiAs
Source: the Alexandria database
Functional: PBE-GGA
Structure: relaxed

spin magnetization: 0.18 μB per cell
raw formation energy: -53 meV/atom
space-group type: No. 25

Cell: 4.5414 2.7221 4.1962 Å, 89.98 90.00 90.00°
Site moments in Bohr magnetons follow the coordinates.
Sites, in units of the cell vectors:
As1 0.5000 0.8754 0.7495  -0.02
Mn1 0.0000 0.8749 0.0104  1.88
Mn2 0.5000 0.3751 0.2414  -1.99
Si1 0.0000 0.3746 0.4987  -0.01